(1)
VASP calculation (SCAN) on a crystal of YScO3 relaxed with PBEsol.

Lattice parameters (Å, degrees): 6.137 6.137 12.110 90.00 90.00 120.00
Fractional positions:
O1 0.000 0.000 0.524
O2 0.640 0.000 0.665
O3 0.000 0.693 0.330
O4 0.333 0.667 0.477
O5 0.333 0.667 0.977
O6 0.000 0.307 0.830
O7 0.000 0.640 0.665
O8 0.667 0.333 0.977
O9 0.693 0.000 0.330
O10 0.360 0.000 0.165
O11 0.667 0.333 0.477
O12 0.307 0.307 0.330
O13 0.000 0.360 0.165
O14 0.307 0.000 0.830
O15 0.640 0.640 0.165
O16 0.000 0.000 0.024
O17 0.360 0.360 0.665
O18 0.693 0.693 0.830
Sc1 0.334 0.000 0.998
Sc2 0.666 0.000 0.498
Sc3 0.000 0.666 0.498
Sc4 0.666 0.666 0.998
Sc5 0.000 0.334 0.998
Sc6 0.334 0.334 0.498
Y1 0.667 0.333 0.265
Y2 0.333 0.667 0.265
Y3 0.667 0.333 0.765
Y4 0.000 0.000 0.725
Y5 0.333 0.667 0.765
Y6 0.000 0.000 0.225

Computed properties:
DOS at the Fermi energy: 0.0 states/eV/cell
total magnetic moment: 0.00 μB per formula unit
V: 13.2 Å³/atom

***

(2)
VASP calculation (SCAN) on a crystal of Mg2ZrRh relaxed with PBEsol.

Lattice parameters (Å, degrees): 3.241 3.241 7.319 90.00 90.00 90.00
Fractional positions:
Mg1 0.000 0.000 0.715
Mg2 0.500 0.500 0.998
Zr1 0.000 0.000 0.296
Rh1 0.500 0.500 0.491

Computed properties:
DOS at the Fermi energy: 2.4 states/eV/cell
total magnetic moment: 0.00 μB per formula unit
V: 19.2 Å³/atom

***

(3)
VASP calculation (SCAN) on a crystal of KSi2Ag relaxed with PBEsol.

Lattice parameters (Å, degrees): 3.481 3.481 7.231 90.00 90.00 90.00
Fractional positions:
Ag1 0.500 0.500 0.000
Si1 0.000 0.000 0.164
Si2 0.000 0.000 0.836
K1 0.500 0.500 0.500

Computed properties:
DOS at the Fermi energy: 1.4 states/eV/cell
total magnetic moment: 0.00 μB per formula unit
V: 21.9 Å³/atom

***

(4)
VASP calculation (SCAN) on a crystal of CrGePCl2 relaxed with PBEsol.

Lattice parameters (Å, degrees): 4.515 4.515 4.876 90.00 90.00 90.00
Fractional positions:
P1 0.000 0.000 0.500
Cl1 0.000 0.500 0.000
Cl2 0.500 0.000 0.000
Cr1 0.000 0.000 0.000
Ge1 0.500 0.500 0.500

Computed properties:
DOS at the Fermi energy: 1.6 states/eV/cell
total magnetic moment: 3.02 μB per formula unit
V: 19.9 Å³/atom

***

(5)
VASP calculation (SCAN) on a crystal of PtI2 relaxed with PBEsol.

Lattice parameters (Å, degrees): 6.720 6.855 8.465 90.00 90.00 104.96
Fractional positions:
I1 0.539 0.754 0.337
I2 0.986 0.228 0.910
I3 0.461 0.746 0.837
I4 0.461 0.246 0.663
I5 0.986 0.728 0.590
I6 0.014 0.772 0.090
I7 0.014 0.272 0.410
I8 0.539 0.254 0.163
Pt1 0.761 0.497 0.373
Pt2 0.239 0.503 0.627
Pt3 0.239 0.003 0.873
Pt4 0.761 0.997 0.127

Computed properties:
total magnetic moment: 0.00 μB per formula unit
V: 31.4 Å³/atom

***

(6)
VASP calculation (SCAN) on a crystal of MgTaTi2Cu relaxed with PBEsol.

Lattice parameters (Å, degrees): 4.153 4.652 4.652 90.00 90.00 90.00
Fractional positions:
Mg1 0.000 0.000 0.000
Cu1 0.500 0.000 0.000
Ti1 0.000 0.000 0.500
Ti2 0.000 0.500 0.000
Ta1 0.500 0.500 0.500

Computed properties:
DOS at the Fermi energy: 4.5 states/eV/cell
total magnetic moment: 2.69 μB per formula unit
V: 18.0 Å³/atom

***

(7)
VASP calculation (SCAN) on a crystal of Te3Mo2S relaxed with PBEsol.

Lattice parameters (Å, degrees): 3.392 3.392 27.185 90.00 90.00 120.00
Fractional positions:
Mo1 0.333 0.667 0.749
Mo2 0.667 0.333 0.989
Mo3 0.667 0.333 0.509
Mo4 0.333 0.667 0.249
Te1 0.333 0.667 0.057
Te2 0.333 0.667 0.577
Te3 0.333 0.667 0.441
Te4 0.667 0.333 0.181
Te5 0.333 0.667 0.921
Te6 0.667 0.333 0.317
S1 0.667 0.333 0.695
S2 0.667 0.333 0.804

Computed properties:
DOS at the Fermi energy: 2.8 states/eV/cell
total magnetic moment: 0.00 μB per formula unit
V: 22.6 Å³/atom

***

(8)
VASP calculation (SCAN) on a crystal of RuRh2Cl relaxed with PBEsol.

Lattice parameters (Å, degrees): 2.762 2.762 7.347 90.00 90.00 90.00
Fractional positions:
Cl1 0.500 0.500 0.500
Ru1 0.500 0.500 0.000
Rh1 0.000 0.000 0.241
Rh2 0.000 0.000 0.759

Computed properties:
DOS at the Fermi energy: 4.1 states/eV/cell
total magnetic moment: 0.00 μB per formula unit
V: 14.0 Å³/atom

***

The calculated total energy results, record by record, are as follows: -16.05, -19.04, -14.62, -12.89, -48.06, -22.41, -32.24, -27.26 eV per atom.